[1]
Density functional theory data (PBE-GGA) for an optimized crystal structure of AlAu.

## Properties
The value obtained for the total magnetization is 0.00 μB/atom. The formation energy comes out at -331 meV/atom. For the density of states at the Fermi level, the calculation gives 1.367 states/eV per cell.

a = 3.202 Å, b = 4.776 Å, c = 4.493 Å
α = 90.00°, β = 90.00°, γ = 90.00°
Positions (direct):
Au1 0.500 0.000 0.564
Au2 0.000 0.500 0.269
Al1 0.000 0.000 0.035
Al2 0.500 0.500 0.799

=====

[2]
Density functional theory data (PBE-GGA) for an optimized crystal structure of CePm3Th3Se8.

## Properties
The value obtained for the total magnetization is 0.07 μB/atom. For the density of states at the Fermi level, the calculation gives 16.458 states/eV per cell. The value obtained for the energy relative to the elements, uncorrected is -1.731 eV per atom.

a = 8.338 Å, b = 8.338 Å, c = 8.392 Å
α = 119.79°, β = 90.00°, γ = 120.00°
Site moments in Bohr magnetons follow the coordinates.
Positions (direct):
Ce1 0.000 0.000 0.500  0.87
Pm1 0.000 0.000 0.000  0.00
Pm2 0.000 0.500 0.000  0.00
Pm3 0.500 0.500 0.000  0.00
Th1 0.500 0.000 0.500  0.01
Th2 0.500 0.500 0.500  0.01
Th3 0.000 0.500 0.500  0.01
Se1 0.249 0.498 0.246  0.00
Se2 0.751 0.502 0.754  0.00
Se3 0.743 0.487 0.243  0.00
Se4 0.257 0.513 0.757  0.00
Se5 0.744 0.999 0.243  0.00
Se6 0.256 0.001 0.757  0.00
Se7 0.256 0.999 0.243  0.00
Se8 0.744 0.001 0.757  0.00

=====

[3]
Density functional theory data (PBE-GGA) for an optimized crystal structure of SrPaTe4.

## Properties
The value obtained for the total magnetization is 0.12 μB/atom. For the density of states at the Fermi level, the calculation gives 10.443 states/eV per cell. The value obtained for the energy relative to the elements, uncorrected is -0.938 eV per atom.

a = 7.597 Å, b = 8.615 Å, c = 8.334 Å
α = 116.72°, β = 112.31°, γ = 98.47°
Site moments in Bohr magnetons follow the coordinates.
Positions (direct):
Sr1 0.380 0.630 0.259  0.00
Sr2 0.620 0.370 0.741  0.00
Pa1 0.252 0.002 0.004  0.64
Pa2 0.748 0.998 0.996  0.64
Te1 0.982 0.205 0.858  -0.01
Te2 0.816 0.677 0.653  -0.01
Te3 0.376 0.653 0.858  -0.01
Te4 0.337 0.976 0.653  -0.01
Te5 0.663 0.024 0.347  -0.01
Te6 0.624 0.347 0.142  -0.01
Te7 0.184 0.323 0.347  -0.01
Te8 0.018 0.795 0.142  -0.01

=====

[4]
Density functional theory data (PBE-GGA) for an optimized crystal structure of RbZnNi2W.

## Properties
The value obtained for the total magnetization is 0.93 μB/atom. The formation energy comes out at 1543 meV/atom. For the density of states at the Fermi level, the calculation gives 3.297 states/eV per cell.

a = 4.710 Å, b = 4.913 Å, c = 4.710 Å
α = 90.00°, β = 90.00°, γ = 90.00°
Site moments in Bohr magnetons follow the coordinates.
Positions (direct):
Ni1 0.000 0.000 0.500  0.50
Ni2 0.500 0.000 0.000  0.61
Zn1 0.000 0.000 0.000  0.04
Rb1 0.500 0.500 0.500  0.06
W1 0.000 0.500 0.000  2.59

=====

[5]
Density functional theory data (PBE-GGA) for an optimized crystal structure of NbHW.

## Properties
The value obtained for the total magnetization is 0.00 μB/atom. The polymorph energy (0 for the lowest one) comes out at 0.15 kcal/mol of atoms. For the density of states at the Fermi level, the calculation gives 3.238 states/eV per cell.

a = 9.475 Å, b = 3.317 Å, c = 4.706 Å
α = 90.00°, β = 90.00°, γ = 90.00°
Positions (direct):
Nb1 0.367 0.000 0.250
Nb2 0.133 0.000 0.750
Nb3 0.633 0.500 0.250
Nb4 0.867 0.500 0.750
H1 0.000 0.250 0.492
H2 0.000 0.750 0.008
H3 0.500 0.250 0.508
H4 0.500 0.750 0.992
W1 0.869 0.000 0.250
W2 0.631 0.000 0.750
W3 0.131 0.500 0.250
W4 0.369 0.500 0.750

=====

[6]
Density functional theory data (PBE-GGA) for an optimized crystal structure of AcSmTcO6.

## Properties
The value obtained for the total magnetization is 0.11 μB/atom. For the density of states at the Fermi level, the calculation gives 5.571 states/eV per cell. The value obtained for the energy relative to the elements, uncorrected is -2.464 eV per atom.

a = 5.645 Å, b = 5.645 Å, c = 5.234 Å
α = 90.00°, β = 90.00°, γ = 60.00°
Site moments in Bohr magnetons follow the coordinates.
Positions (direct):
Ac1 0.000 0.000 0.000  0.02
Sm1 0.667 0.667 0.500  0.01
Tc1 0.333 0.333 0.500  0.77
O1 0.048 0.336 0.288  0.02
O2 0.336 0.048 0.712  0.02
O3 0.616 0.336 0.712  0.02
O4 0.048 0.616 0.712  0.02
O5 0.336 0.616 0.288  0.02
O6 0.616 0.048 0.288  0.02

=====

[7]
Density functional theory data (PBE-GGA) for an optimized crystal structure of La3AuO.

## Properties
The value obtained for the total magnetization is 0.00 μB/atom. The polymorph energy (0 for the lowest one) comes out at 1.42 kcal/mol of atoms. For the density of states at the Fermi level, the calculation gives 12.054 states/eV per cell. The value obtained for the energy relative to the elements, uncorrected is -1.399 eV per atom.

a = 5.448 Å, b = 7.931 Å, c = 6.774 Å
α = 74.34°, β = 90.05°, γ = 90.01°
Positions (direct):
Au1 0.193 0.119 0.073
Au2 0.694 0.551 0.271
O1 0.463 0.975 0.581
O2 0.963 0.695 0.763
La1 0.712 0.891 0.873
La2 0.211 0.779 0.471
La3 0.697 0.149 0.292
La4 0.198 0.521 0.052
La5 0.202 0.212 0.612
La6 0.702 0.458 0.732

=====

[8]
Density functional theory data (PBE-GGA) for an optimized crystal structure of GaAgRh2.

## Properties
The value obtained for the total magnetization is 0.00 μB/atom. The formation energy comes out at -150 meV/atom. For the density of states at the Fermi level, the calculation gives 4.684 states/eV per cell.

a = 3.055 Å, b = 4.432 Å, c = 4.432 Å
α = 90.00°, β = 90.00°, γ = 90.00°
Positions (direct):
Rh1 0.000 0.000 0.500
Rh2 0.000 0.500 0.000
Ga1 0.500 0.500 0.500
Ag1 0.500 0.000 0.000